Version P
Computed, not measured: a geometry-optimized BeCoBr structure at the PBE level of DFT.

Cell lengths 3.1526, 5.4394, 11.0318 Å; angles 90.00, 90.00, 90.00 degrees
Closest atoms and distances in Å follow each position.
Space group Fmm2 (No. 42)
Symmetry-distinct sites (fractional):
Be 0.0000 0.0000 0.0000 x4  2 Co 2.20, 2 Br 2.27
Co 0.0000 0.0000 0.3612 x4  2 Be 2.20
Br 0.0000 0.0000 0.6480 x4  2 Be 2.27



Version Q
Computed, not measured: a geometry-optimized BeCoBr structure at the PBE level of DFT.

Cell lengths 3.7056, 3.7056, 9.0624 Å; angles 90.00, 90.00, 120.00 degrees
Closest atoms and distances in Å follow each position.
Space group P6_3/mmc (No. 194)
Symmetry-distinct sites (fractional):
Be 0.3333 0.6667 0.2500 x2  3 Br 2.14
Co 0.0000 0.0000 0.0000 x2  2 Br 2.27
Br 0.0000 0.0000 0.2500 x2  3 Be 2.14, 2 Co 2.27



Version R
Computed, not measured: a geometry-optimized BeCoBr structure at the PBE level of DFT.

Cell lengths 6.1993, 3.5788, 9.3518 Å; angles 90.00, 102.31, 90.00 degrees
Closest atoms and distances in Å follow each position.
Space group C2/m (No. 12)
Symmetry-distinct sites (fractional):
Be 0.1722 0.0000 0.0172 x4  3 Be 2.09, 3 Co 2.29
Co 0.0401 0.5000 0.1253 x4  1 Co 2.29, 6 Be 2.29-2.44, 3 Br 2.55
Br 0.2406 0.5000 0.7114 x4  1 Be 2.48, 3 Co 2.55



Version S
Computed, not measured: a geometry-optimized BeCoBr structure at the PBE level of DFT.

Cell lengths 3.1147, 3.1147, 9.0500 Å; angles 90.00, 90.00, 90.00 degrees
Closest atoms and distances in Å follow each position.
Space group I4mm (No. 107)
Symmetry-distinct sites (fractional):
Be 0.0000 0.0000 0.0000 x2  4 Co 2.28
Co 0.0000 0.0000 0.5654 x2  4 Be 2.28, 1 Br 2.42
Br 0.0000 0.0000 0.2983 x2  1 Co 2.42, 1 Be 2.70



On energetic grounds, version R is preferred over the next structure by 713 meV/atom.



Version P
Computed, not measured: a geometry-optimized BeCoBr structure at the PBE level of DFT.

Cell lengths 3.1082, 3.1082, 5.1577 Å; angles 90.00, 90.00, 120.00 degrees
Closest atoms and distances in Å follow each position.
Space group P3m1 (No. 156)
Symmetry-distinct sites (fractional):
Be 0.0000 0.0000 0.0000 x1  3 Co 2.33, 3 Br 2.50
Co 0.3333 0.6667 0.7131 x1  3 Be 2.33
Br 0.6667 0.3333 0.3375 x1  3 Be 2.50, 3 Co 2.64



Version Q
Computed, not measured: a geometry-optimized BeCoBr structure at the PBE level of DFT.

Cell lengths 9.1874, 3.6836, 7.1995 Å; angles 90.00, 90.00, 90.00 degrees
Closest atoms and distances in Å follow each position.
Space group Pnma (No. 62)
Symmetry-distinct sites (fractional):
Be 0.0520 0.2500 0.0060 x4  2 Be 2.08, 3 Co 2.12-2.18
Co 0.1790 0.7500 0.9993 x4  3 Be 2.12-2.18, 1 Br 2.31
Br 0.2274 0.7500 0.6847 x4  3 Co 2.31-2.43, 1 Be 2.40



On energetic grounds, version Q is preferred over the next structure by 282 meV/atom.



Version P
Computed, not measured: a geometry-optimized BeCoBr structure at the PBE level of DFT.

Cell lengths 3.7276, 3.7446, 8.8462 Å; angles 98.97, 90.20, 119.79 degrees
Closest atoms and distances in Å follow each position.
Space group P1 (No. 1)
Symmetry-distinct sites (fractional):
Be 0.0000 0.0000 0.0000 x1  4 Co 2.12-2.35, 1 Br 2.18
Be 0.3051 0.6117 0.8732 x1  6 Co 2.14-2.39
Co 0.6396 0.2803 0.8966 x1  6 Be 2.14-2.35
Co 0.9454 0.8930 0.7562 x1  1 Be 2.12
Br 0.5742 0.1536 0.5960 x1  4 Co 2.56-2.62
Br 0.8095 0.6074 0.1758 x1  1 Be 2.18



Version Q
Computed, not measured: a geometry-optimized BeCoBr structure at the PBE level of DFT.

Cell lengths 3.3633, 3.4212, 9.0611 Å; angles 79.19, 89.69, 89.99 degrees
Closest atoms and distances in Å follow each position.
Space group P1 (No. 1)
Symmetry-distinct sites (fractional):
Be 0.0000 0.0000 0.0000 x1  2 Be 2.29, 6 Co 2.35-2.40, 2 Br 2.49-2.50
Be 0.4976 0.9135 0.1744 x1  2 Be 2.29, 6 Co 2.36-2.40, 2 Br 2.49-2.50
Co 0.5004 0.5042 0.9919 x1  6 Be 2.36-2.40, 2 Co 2.38, 2 Br 2.47
Co 0.9978 0.4098 0.1817 x1  6 Be 2.35-2.40, 2 Co 2.38, 2 Br 2.47
Br 0.5054 0.1034 0.7923 x1  2 Co 2.47, 2 Be 2.49-2.50
Br 0.9957 0.8106 0.3815 x1  2 Co 2.47, 2 Be 2.49-2.50



On energetic grounds, version Q is preferred over the next structure by 17 meV/atom.